Mn4Sb5 | PBE | relaxed

Unit cell a=7.103 b=7.103 c=7.103 alpha=95.28 beta=95.28 gamma=144.69
Atoms (fractional coordinates):
Mn1 0.000 0.356 0.356
Mn2 0.000 0.644 0.644
Mn3 0.356 0.000 0.356
Mn4 0.644 0.000 0.644
Sb1 0.000 0.000 0.000
Sb2 0.324 0.324 0.649
Sb3 0.324 0.676 0.000
Sb4 0.676 0.324 0.000
Sb5 0.676 0.676 0.351

Calculated values
The calculation puts the total DFT energy (no corrections) at -5.947 eV per atom. The space-group type is No. 139. Its calculated density is 7.0 Mg/m³. The raw formation energy comes out at 418 meV/atom. The energy above the most stable polymorph in this dataset comes out at 169 meV/atom.

Pm12NdCo6 | PBE | relaxed

Unit cell a=8.690 b=8.690 c=8.690 alpha=109.47 beta=109.47 gamma=109.47
Atoms (fractional coordinates):
Pm1 0.116 0.310 0.805
Pm2 0.195 0.505 0.310
Pm3 0.195 0.884 0.690
Pm4 0.310 0.195 0.505
Pm5 0.310 0.805 0.116
Pm6 0.495 0.690 0.805
Pm7 0.505 0.310 0.195
Pm8 0.690 0.195 0.884
Pm9 0.690 0.805 0.495
Pm10 0.805 0.116 0.310
Pm11 0.805 0.495 0.690
Pm12 0.884 0.690 0.195
Nd1 0.000 0.000 0.000
Co1 0.111 0.500 0.611
Co2 0.389 0.889 0.500
Co3 0.500 0.389 0.889
Co4 0.500 0.611 0.111
Co5 0.611 0.111 0.500
Co6 0.889 0.500 0.389

Calculated values
The calculation puts the total DFT energy (no corrections) at -5.560 eV per atom. The space-group type is No. 204. Its calculated density is 7.4 Mg/m³. The calculation puts the formation energy at -0.0643 eV per atom.

TlMo4Se | PBE | relaxed

Unit cell a=5.363 b=5.363 c=5.363 alpha=60.00 beta=60.00 gamma=60.00
Atoms (fractional coordinates):
Tl1 0.000 0.000 0.000
Mo1 0.130 0.623 0.623
Mo2 0.623 0.130 0.623
Mo3 0.623 0.623 0.130
Mo4 0.623 0.623 0.623
Se1 0.250 0.250 0.250

Calculated values
The calculation puts the total DFT energy (no corrections) at -7.538 eV per atom. The space-group type is No. 216. Its calculated density is 10.2 Mg/m³. The raw formation energy comes out at 658 meV/atom.

> total DFT energy (no corrections) of number 1 (Mn4Sb5)?

-5.947 eV per atom

> The highest calculated density belongs to which entry?

TlMo4Se